{"formula": "SrEuNiO4", "functional": "GGA+U", "state": "relaxed", "relative_energy_mev_per_atom": 0, "magmom_total_mub_per_fu": 5.3, "dft_energy_ev_per_atom": -6.95, "space_group": "No. 107", "crystal_system": "tetragonal", "cell": [[-2.317, -3.779, 5.042], [-4.841, -4.641, 0.323], [5.384, 2.284, -3.297]], "species": ["Sr", "Eu", "Ni", "O", "O", "O", "O"], "frac_coords": [[0.642, 0.642, 0.000], [0.361, 0.361, 0.000], [0.002, 0.002, 0.000], [0.993, 0.493, 0.500], [0.493, 0.993, 0.500], [0.840, 0.840, 0.000], [0.169, 0.169, 0.000]]}